[1]
# Cs4AcTa3O12

Crystalline Cs4AcTa3O12 at its relaxed geometry (PBE, Alexandria).

## Properties
Its total energy is -7.39 eV per atom. The calculation puts the uncorrected formation energy at -2262 meV per atom. As for the space group: Im-3m (229). The calculation puts the total magnetization at 0.102 μB per atom.

a b c (Å): 7.5307 7.5307 7.5307
angles (deg): 109.47 109.47 109.47
Fractional positions:
Cs 0.5000 0.5000 0.5000
Cs 0.0000 0.0000 0.5000
Cs 0.5000 0.0000 0.0000
Cs 0.0000 0.5000 0.0000
Ac 0.0000 0.0000 0.0000
Ta 0.5000 0.0000 0.5000
Ta 0.5000 0.5000 0.0000
Ta 0.0000 0.5000 0.5000
O 0.2500 0.5000 0.7500
O 0.7196 0.0000 0.7196
O 0.2804 0.0000 0.2804
O 0.7500 0.5000 0.2500
O 0.7196 0.7196 0.0000
O 0.2804 0.2804 0.0000
O 0.7500 0.2500 0.5000
O 0.2500 0.7500 0.5000
O 0.5000 0.2500 0.7500
O 0.0000 0.7196 0.7196
O 0.5000 0.7500 0.2500
O 0.0000 0.2804 0.2804

***

[2]
# Cs3AcTa2O8

Crystalline Cs3AcTa2O8 at its relaxed geometry (PBE, Alexandria).

## Properties
Its total energy is -7.67 eV per atom. The calculation puts the uncorrected formation energy at -2671 meV per atom. As for the space group: P-3m1 (164). The calculation puts the total magnetization at 0.000 μB per atom.

a b c (Å): 6.6067 6.6067 8.6047
angles (deg): 90.00 90.00 120.00
Fractional positions:
Cs 0.3333 0.6667 0.7154
Cs 0.6667 0.3333 0.2846
Cs 0.0000 0.0000 0.0000
Ac 0.0000 0.0000 0.5000
Ta 0.3333 0.6667 0.2553
Ta 0.6667 0.3333 0.7447
O 0.3333 0.6667 0.0434
O 0.6667 0.3333 0.9566
O 0.1772 0.8228 0.3276
O 0.8228 0.1772 0.6724
O 0.1772 0.3544 0.3276
O 0.8228 0.6456 0.6724
O 0.6456 0.8228 0.3276
O 0.3544 0.1772 0.6724

***

> Among the records above, which one has the lowest total magnetization?

Cs3AcTa2O8